(1)
Compound: ScAg3Pd
Source: Alexandria
Functional: PBE-GGA
Structure: optimized geometry

Cell lengths 5.0113, 5.0113, 5.0113 Å; angles 90.00, 90.00, 90.00 degrees
With the nearest neighbours (Å) after each atom.
Space group Pm-3m (No. 221)
Asymmetric unit:
Sc 0.0000 0.0000 0.0000 (multiplicity 1)  6 Ag 2.51
Ag 0.0000 0.0000 0.5000 (multiplicity 3)  2 Sc 2.51
Pd 0.5000 0.5000 0.5000 (multiplicity 1)  12 Ag 3.54

Results
**Magnetization**: 0.00 μB per cell
**Distance to the lowest polymorph of the same formula**: 2.59 eV per formula unit
**Formation energy**: 5.46 eV/f.u.

***

(2)
Compound: Sc6AgPd2
Source: Alexandria
Functional: PBE-GGA
Structure: optimized geometry

Cell lengths 8.9187, 8.9402, 9.6169 Å; angles 90.00, 90.00, 90.00 degrees
With the nearest neighbours (Å) after each atom.
Space group Immm (No. 71)
Asymmetric unit:
Sc 0.0000 0.1960 0.2415 (multiplicity 8)  2 Pd 2.67-2.95, 1 Ag 2.91
Sc 0.2124 0.5000 0.1715 (multiplicity 8)  3 Pd 2.63-2.88
Sc 0.2154 0.3156 0.5000 (multiplicity 8)  3 Pd 2.87-2.91, 1 Ag 3.03
Ag 0.0000 0.0000 0.0000 (multiplicity 2)  8 Sc 2.91-3.03, 2 Pd 3.07
Ag 0.0000 0.0000 0.5000 (multiplicity 2)  8 Sc 3.04-3.05
Pd 0.0000 0.3429 0.0000 (multiplicity 4)  8 Sc 2.67-2.91, 1 Pd 2.81
Pd 0.0000 0.5000 0.3605 (multiplicity 4)  6 Sc 2.63-2.87, 1 Pd 2.68

Results
**Magnetization**: 0.00 μB per cell
**Formation energy**: -4.05 eV/f.u.

***

(3)
Compound: Sc2AgPd4
Source: Alexandria
Functional: PBE-GGA
Structure: optimized geometry

Cell lengths 4.8798, 4.8798, 13.1830 Å; angles 90.00, 90.00, 90.00 degrees
With the nearest neighbours (Å) after each atom.
Space group I4/mmm (No. 139)
Asymmetric unit:
Sc 0.0000 0.0000 0.1199 (multiplicity 4)  1 Pd 2.36
Ag 0.0000 0.0000 0.5000 (multiplicity 2)  6 Pd 2.44-2.65
Pd 0.0000 0.0000 0.2989 (multiplicity 4)  1 Sc 2.36
Pd 0.0000 0.5000 0.0000 (multiplicity 4)  2 Ag 2.44

Results
**Magnetization**: 0.00 μB per cell
**Distance to the lowest polymorph of the same formula**: 4.37 eV per formula unit
**Formation energy**: 0.96 eV/f.u.

***

(4)
Compound: Sc5AgPd6
Source: Alexandria
Functional: PBE-GGA
Structure: optimized geometry

Cell lengths 8.1192, 13.8128, 4.6456 Å; angles 90.00, 124.85, 90.00 degrees
With the nearest neighbours (Å) after each atom.
Space group C2/m (No. 12)
Asymmetric unit:
Sc 0.0000 0.0000 0.0000 (multiplicity 2)  8 Pd 2.76-2.87
Sc 0.0000 0.1715 0.5000 (multiplicity 4)  8 Pd 2.77-2.81
Sc 0.0000 0.3477 0.0000 (multiplicity 4)  8 Pd 2.79-2.93
Ag 0.0000 0.5000 0.5000 (multiplicity 2)  8 Pd 2.95-2.96, 4 Sc 3.13
Pd 0.2250 0.0000 0.7236 (multiplicity 4)  6 Sc 2.76-2.80, 2 Ag 2.95-2.96, 1 Pd 3.00
Pd 0.2371 0.1731 0.2366 (multiplicity 8)  7 Sc 2.77-2.93, 1 Ag 2.96

Results
**Magnetization**: 0.00 μB per cell
**Formation energy**: -9.85 eV/f.u.

***

(5)
Compound: Sc5AgPd
Source: Alexandria
Functional: PBE-GGA
Structure: optimized geometry

Cell lengths 8.2035, 6.7462, 11.4466 Å; angles 90.00, 101.98, 90.00 degrees
With the nearest neighbours (Å) after each atom.
Space group C2/c (No. 15)
Asymmetric unit:
Sc 0.0000 0.0081 0.2500 (multiplicity 4)  1 Ag 2.75, 2 Pd 2.86, 2 Sc 3.06
Sc 0.1406 0.3505 0.0812 (multiplicity 8)  1 Pd 2.71, 1 Ag 2.97
Sc 0.2381 0.3332 0.3752 (multiplicity 8)  1 Pd 2.58, 1 Ag 2.82
Ag 0.0000 0.4002 0.7500 (multiplicity 4)  5 Sc 2.75-2.97
Pd 0.0000 0.0000 0.0000 (multiplicity 4)  6 Sc 2.58-2.86

Results
**Magnetization**: 0.00 μB per cell
**Formation energy**: -1.31 eV/f.u.

***

(6)
Compound: ScAg2Pd
Source: Alexandria
Functional: PBE-GGA
Structure: optimized geometry

Cell lengths 6.6013, 6.6013, 6.6013 Å; angles 90.00, 90.00, 90.00 degrees
With the nearest neighbours (Å) after each atom.
Space group Fm-3m (No. 225)
Asymmetric unit:
Sc 0.0000 0.0000 0.0000 (multiplicity 4)  8 Ag 2.86
Ag 0.2500 0.2500 0.2500 (multiplicity 8)  4 Sc 2.86, 4 Pd 2.86
Pd 0.0000 0.0000 0.5000 (multiplicity 4)  8 Ag 2.86

Results
**Magnetization**: 0.00 μB per cell
**Distance to the lowest polymorph of the same formula**: 0.56 eV per formula unit
**Formation energy**: -1.21 eV/f.u.

***

(7)
Compound: Sc2AgPd
Source: Alexandria
Functional: PBE-GGA
Structure: optimized geometry

Cell lengths 3.3492, 3.3492, 6.8450 Å; angles 90.00, 90.00, 90.00 degrees
With the nearest neighbours (Å) after each atom.
Space group P4/mmm (No. 123)
Asymmetric unit:
Sc 0.0000 0.0000 0.2405 (multiplicity 2)  4 Pd 2.88, 4 Ag 2.96
Ag 0.5000 0.5000 0.5000 (multiplicity 1)  8 Sc 2.96
Pd 0.5000 0.5000 0.0000 (multiplicity 1)  8 Sc 2.88

Results
**Magnetization**: 0.00 μB per cell
**Formation energy**: -2.34 eV/f.u.

***

(8)
Compound: Sc3AgPd
Source: Alexandria
Functional: PBE-GGA
Structure: optimized geometry

Cell lengths 5.0497, 5.0497, 5.0497 Å; angles 90.00, 90.00, 90.00 degrees
With the nearest neighbours (Å) after each atom.
Space group Pm-3m (No. 221)
Asymmetric unit:
Sc 0.0000 0.0000 0.5000 (multiplicity 3)  2 Pd 2.52
Ag 0.5000 0.5000 0.5000 (multiplicity 1)  12 Sc 3.57
Pd 0.0000 0.0000 0.0000 (multiplicity 1)  6 Sc 2.52

Results
**Magnetization**: 0.00 μB per cell
**Distance to the lowest polymorph of the same formula**: 0.00 eV per formula unit
**Formation energy**: 0.01 eV/f.u.